BaTeCF2: optimized geometry, PBE-GGA.

The structure belongs to space group P4/mmm (No. 123); the cell edges are 4.891, 4.891 and 4.207 Å and the angles 90.00°, 90.00° and 90.00°. Symmetry generates all atoms from Ba at (0.000, 0.000, 0.000), Te at (0.500, 0.500, 0.500), C at (0.500, 0.500, 0.000) and F at (0.000, 0.500, 0.500).

The value obtained for the density of states at the Fermi level is 0.664 states/eV/f.u. For the raw total energy, the calculation gives -4.512 eV/atom. The mass density is 5.2 g/cm3. The crystal system is tetragonal.